First-principles (PBE+U) data for a relaxed VCdI2O crystal, as listed in Alexandria.

Computed properties:
distance to the lowest polymorph of the same formula = 0.0 meV per atom
electronic total energy = -19.1 eV for the cell shown
volume = 25.376 Å³/atom

Geometry as POSCAR:
```
VCdI2O
1.0
5.815 0.000 0.000
0.000 5.815 0.000
0.000 0.000 3.752
V Cd I O
1 1 2 1
direct
0.000 0.000 0.000
0.500 0.500 0.500
0.000 0.500 0.000
0.500 0.000 0.000
0.000 0.000 0.500
```